1.
## Al2Si2Hg (PBE-GGA)

Data for crystalline Al2Si2Hg at its relaxed geometry.

Computed properties:
The density of states at the Fermi level comes out at 1.0 states/eV per cell. The crystal system is tetragonal.

Lattice parameters (Å, degrees): 5.873 5.873 5.873 135.62 135.62 64.57
Atoms (fractional coordinates):
Al (0.250, 0.750, 0.500)
Al (0.750, 0.250, 0.500)
Si (0.118, 0.118, 0.000)
Si (0.882, 0.882, 0.000)
Hg (0.500, 0.500, 0.000)


2.
## Al2Si2Hg (PBE-GGA)

Data for crystalline Al2Si2Hg at its relaxed geometry.

Computed properties:
The density of states at the Fermi level comes out at 3.9 states/eV per cell. The crystal system is tetragonal.

Lattice parameters (Å, degrees): 7.972 7.972 2.798 90.00 90.00 90.00
Atoms (fractional coordinates):
Al (0.144, 0.356, 0.000)
Al (0.356, 0.856, 0.000)
Al (0.644, 0.144, 0.000)
Al (0.856, 0.644, 0.000)
Si (0.150, 0.650, 0.500)
Si (0.350, 0.150, 0.500)
Si (0.650, 0.850, 0.500)
Si (0.850, 0.350, 0.500)
Hg (0.000, 0.000, 0.500)
Hg (0.500, 0.500, 0.500)


3.
## Al2Si2Hg (PBE-GGA)

Data for crystalline Al2Si2Hg at its relaxed geometry.

Computed properties:
The density of states at the Fermi level comes out at 1.2 states/eV per cell. The crystal system is tetragonal.

Lattice parameters (Å, degrees): 6.661 6.661 6.661 145.45 145.45 49.66
Atoms (fractional coordinates):
Al (0.110, 0.110, 0.000)
Al (0.890, 0.890, 0.000)
Si (0.250, 0.750, 0.500)
Si (0.750, 0.250, 0.500)
Hg (0.500, 0.500, 0.000)


It is 1 that is the most stable of them.


1.
## TbSmAlHg (PBE-GGA)

Data for crystalline TbSmAlHg at its relaxed geometry.

Computed properties:
The density of states at the Fermi level comes out at 1.8 states/eV per cell. The crystal system is tetragonal.

Lattice parameters (Å, degrees): 3.537 3.537 8.112 90.00 90.00 90.00
Atoms (fractional coordinates):
Tb (0.000, 0.000, 0.000)
Sm (0.000, 0.000, 0.521)
Al (0.500, 0.500, 0.764)
Hg (0.500, 0.500, 0.252)


2.
## TbSmAlHg (PBE-GGA)

Data for crystalline TbSmAlHg at its relaxed geometry.

Computed properties:
The density of states at the Fermi level comes out at 4.9 states/eV per cell. The crystal system is cubic.

Lattice parameters (Å, degrees): 5.276 5.276 5.276 60.00 60.00 60.00
Atoms (fractional coordinates):
Tb (0.000, 0.000, 0.000)
Sm (0.500, 0.500, 0.500)
Al (0.250, 0.250, 0.250)
Hg (0.750, 0.750, 0.750)


It is 1 that is the most stable of them.